The following is a PBE calculation of crystalline Th5Te4Pb at its relaxed geometry, from Alexandria via LeMat-Bulk.

Cell lengths 3.837, 3.837, 19.685 Å; angles 90.00, 90.00, 90.00 degrees
Space group P4/mmm (No. 123)
Inequivalent atoms, fractional coordinates:
Th (0.000, 0.000, 0.000) [1 per cell]
Th (0.000, 0.000, 0.197) [2 per cell]
Th (0.000, 0.000, 0.394) [2 per cell]
Te (0.500, 0.500, 0.098) [2 per cell]
Te (0.500, 0.500, 0.294) [2 per cell]
Pb (0.500, 0.500, 0.500) [1 per cell]

Values from the calculation:
Formation energy from raw total energies, meV/atom: -913
ρ, g cm⁻³: 10.76
Size of the total moment, Bohr magnetons per cell: 0.0
V, Å³ per atom: 29.0